# Zr12GaSn6 | Alexandria | PBE | optimized geometry
data_Zr12GaSn6
_chemical_formula_sum 'Zr36 Ga3 Sn18'
_cell_length_a 10.7762
_cell_length_b 10.7762
_cell_length_c 12.8291
_cell_angle_alpha 90.00
_cell_angle_beta 90.00
_cell_angle_gamma 120.00
_space_group_name_H-M_alt 'R -3'
_space_group_IT_number 148
_space_group_name_Hall '-R 3'
loop_
_atom_site_label
_atom_site_type_symbol
_atom_site_fract_x
_atom_site_fract_y
_atom_site_fract_z
Zr1 Zr 0.0470 0.8635 0.3139
Zr2 Zr 0.0640 0.2174 0.9136
Ga1 Ga 0.0000 0.0000 0.5000
Sn1 Sn 0.0210 0.5890 0.2106
# Crystal system   trigonal
# Density of states at the Fermi level   19.74 states/eV/f.u.
# Size of the total moment   0.00 μB/cell
# E_form   -0.308 eV per atom
# Uncorrected energy   -7.130 eV/atom